First-principles (PBE) data for a relaxed structure of Sc3TlCu, as listed in the Alexandria database.

Calculated formation energy   0.051 eV/atom
Raw total energy   -5.04 eV per atom
Distance to the lowest polymorph of the same formula   164 meV per atom

```
Sc3TlCu
1.0
4.9585 0.0000 0.0000
0.0000 4.9585 0.0000
0.0000 0.0000 4.9585
Sc Tl Cu
3 1 1
direct
0.0000 0.5000 0.0000
0.0000 0.0000 0.5000
0.5000 0.0000 0.0000
0.5000 0.5000 0.5000
0.0000 0.0000 0.0000
```